# 1
BaPaSi | GGA-PBE | relaxed

The structure in POSCAR format:
```
BaPaSi
1.0
-4.987 -1.010 0.038
-2.907 1.681 3.823
-3.358 3.736 -0.810
Ba Pa Si
1 1 1
Cartesian
-2.813 1.102 0.763 Ba
-8.440 3.306 2.288 Pa
0.000 0.000 0.000 Si
```


# 2
Dy2TmSc3CuTe2 | GGA-PBE | relaxed

The structure in POSCAR format:
```
Dy2TmSc3CuTe2
1.0
-3.314 1.173 1.764
-3.476 -6.925 -1.925
3.932 0.714 6.912
Cu Dy Sc Te Tm
1 2 3 2 1
Cartesian
0.001 -0.013 0.010 Cu
-1.095 -6.492 2.259 Dy
1.827 -3.478 5.746 Dy
-2.482 -1.062 0.429 Sc
-0.723 0.752 2.526 Sc
-1.309 -4.145 4.681 Sc
-2.660 -3.786 1.906 Te
-0.199 -1.248 4.842 Te
0.179 -2.440 1.959 Tm
```


# 3
AlPdW | GGA-PBE | relaxed

The structure in POSCAR format:
```
AlPdW
1.0
0.000 3.027 3.027
3.027 0.000 3.027
3.027 3.027 0.000
Al Pd W
1 1 1
Cartesian
3.027 3.027 3.027 Al
0.000 0.000 0.000 Pd
1.514 1.514 1.514 W
```


Table of VASP energy (eV/f.u.), in record order: -15.4; -48.6; -20.0